(1)
YReAs | GGA-PBE | optimized geometry

a = 7.289 Å, b = 5.740 Å, c = 5.665 Å
α = 90.00°, β = 91.25°, γ = 90.00°
Positions (direct):
Y (0.662, 0.000, 0.253)
Y (0.338, 0.000, 0.747)
Y (0.662, 0.500, 0.753)
Y (0.338, 0.500, 0.247)
Re (0.000, 0.708, 0.000)
Re (0.000, 0.292, 0.000)
Re (0.000, 0.208, 0.500)
Re (0.000, 0.792, 0.500)
As (0.244, 0.000, 0.231)
As (0.756, 0.000, 0.769)
As (0.244, 0.500, 0.731)
As (0.756, 0.500, 0.269)

Results
Crystal system ... monoclinic
V ... 19.75 Å³ per atom
Fermi-level density of states ... 6.909 states/eV/cell
SG ... C2/m (12)

---

(2)
YReAs | GGA-PBE | optimized geometry

a = 4.092 Å, b = 3.850 Å, c = 8.236 Å
α = 90.00°, β = 92.69°, γ = 90.00°
Positions (direct):
Y (0.742, 0.000, 0.404)
Y (0.243, 0.000, 0.033)
Re (0.063, 0.000, 0.714)
Re (0.733, 0.500, 0.783)
As (0.752, 0.500, 0.110)
As (0.303, 0.500, 0.531)

Results
Crystal system ... monoclinic
V ... 21.60 Å³ per atom
Fermi-level density of states ... 1.711 states/eV/cell
SG ... Pm (6)

---

(3)
YReAs | GGA-PBE | optimized geometry

a = 4.656 Å, b = 4.656 Å, c = 4.656 Å
α = 60.00°, β = 60.00°, γ = 60.00°
Last column: magnetic moment on the atom in μB.
Positions (direct):
Y (0.250, 0.250, 0.250)  0.02
Re (0.500, 0.500, 0.500)  0.47
As (0.000, 0.000, 0.000)  -0.01

Results
Crystal system ... cubic
V ... 23.79 Å³ per atom
Fermi-level density of states ... 6.148 states/eV/cell
SG ... F-43m (216)

---

(4)
YReAs2 | GGA-PBE | optimized geometry

a = 4.018 Å, b = 4.018 Å, c = 6.108 Å
α = 70.68°, β = 70.68°, γ = 60.18°
Positions (direct):
Y (0.250, 0.250, 0.250)
Re (0.750, 0.750, 0.750)
As (0.018, 0.018, 0.947)
As (0.482, 0.482, 0.553)

Results
Crystal system ... monoclinic
V ... 19.76 Å³ per atom
Fermi-level density of states ... 4.755 states/eV/cell
SG ... C2/m (12)

---

(5)
YReAs | GGA-PBE | optimized geometry

a = 4.180 Å, b = 3.921 Å, c = 15.980 Å
α = 90.00°, β = 92.45°, γ = 90.00°
Positions (direct):
Y (0.010, 0.000, 0.456)
Y (0.010, 0.500, 0.956)
Y (0.499, 0.000, 0.776)
Y (0.499, 0.500, 0.276)
Re (0.879, 0.000, 0.129)
Re (0.879, 0.500, 0.629)
Re (0.560, 0.000, 0.593)
Re (0.560, 0.500, 0.093)
As (0.515, 0.000, 0.975)
As (0.515, 0.500, 0.475)
As (0.001, 0.000, 0.282)
As (0.001, 0.500, 0.782)

Results
Crystal system ... monoclinic
V ... 21.80 Å³ per atom
Fermi-level density of states ... 4.988 states/eV/cell
SG ... Cm (8)

---

(6)
YReAs2 | GGA-PBE | optimized geometry

a = 5.468 Å, b = 5.468 Å, c = 7.910 Å
α = 69.78°, β = 69.78°, γ = 90.00°
Positions (direct):
Y (0.500, 0.500, 0.000)
Y (0.250, 0.750, 0.500)
Re (0.000, 0.000, 0.000)
Re (0.750, 0.250, 0.500)
As (0.703, 0.125, 0.250)
As (0.047, 0.625, 0.250)
As (0.375, 0.297, 0.750)
As (0.875, 0.953, 0.750)

Results
Crystal system ... tetragonal
V ... 25.79 Å³ per atom
Fermi-level density of states ... 1.135 states/eV/cell
SG ... I-42d (122)

---

no.,energy of formation (eV per atom),energy relative to the lowest polymorph listed for this composition (meV/atom),calculated total energy (eV for the cell shown)
1,-0.51,81,-100.41
2,-0.40,195,-49.52
3,1.01,1605,-20.53
4,-0.42,0,-29.90
5,-0.43,166,-99.40
6,-0.04,385,-56.71